No. 1
NaLiFe2Cl6 PBE optimized geometry; ΔE_f (raw) = -1.079 eV/atom; total magnetic moment = 0.800 μB per atom; symmetry = R3 (146)
1.0
3.2417 1.8716 5.7506
-3.2417 1.8716 5.7506
0.0000 -3.7432 5.7506
Na Li Fe Cl
1 1 2 6
direct
0.0000 0.0000 0.0000
0.5115 0.5115 0.5115
0.2026 0.2026 0.2026
0.7075 0.7075 0.7075
0.0881 0.8123 0.4446
0.3383 0.5623 0.9339
0.4446 0.0881 0.8123
0.5623 0.9339 0.3383
0.8123 0.4446 0.0881
0.9339 0.3383 0.5623



No. 2
Cu2ReAs PBE optimized geometry; total magnetic moment = 0.000 μB per atom; ΔE_f = 1.7 eV per formula unit; symmetry = Pmmm (47)
1.0
2.7091 0.0000 0.0000
0.0000 4.0121 0.0000
0.0000 0.0000 5.1810
Cu Re As
2 1 1
direct
0.0000 0.0000 0.2395
0.0000 0.0000 0.7605
0.5000 0.5000 0.0000
0.5000 0.5000 0.5000



No. 3
LiPb3 PBE optimized geometry; total magnetic moment = 0.000 μB per atom; ΔE_f = -0.4 eV per formula unit; symmetry = P2/m (10)
1.0
3.5243 0.0000 0.0000
0.0000 4.4895 0.0000
-0.3900 0.0000 7.0969
Li Pb
1 3
direct
0.0000 0.0000 0.0000
0.0000 0.0000 0.5000
0.4851 0.5000 0.2294
0.5149 0.5000 0.7706



No. 4
Tm2Pd7Pt PBE optimized geometry; total magnetic moment = 0.000 μB per atom; ΔE_f = -1.1 eV per formula unit; symmetry = Cmmm (65)
1.0
3.6598 -7.5468 0.0000
3.6598 7.5468 0.0000
0.0000 0.0000 3.7803
Tm Pd Pt
2 7 1
direct
0.1900 0.8100 0.0000
0.8100 0.1900 0.0000
0.0000 0.0000 0.0000
0.2157 0.4054 0.0000
0.3164 0.6836 0.5000
0.4054 0.2157 0.0000
0.5946 0.7843 0.0000
0.6836 0.3164 0.5000
0.7843 0.5946 0.0000
0.5000 0.5000 0.5000



No. 5
AcH2Pd3 PBE optimized geometry; total magnetic moment = 0.000 μB per atom; E_tot = -4.76 eV/atom; symmetry = C2/m (12)
1.0
7.2953 -2.0607 0.0000
7.2953 2.0607 0.0000
-3.0938 0.0000 6.4959
Ac H Pd
2 4 6
direct
0.1514 0.1514 0.2329
0.8486 0.8486 0.7671
0.1916 0.1916 0.8906
0.4686 0.4686 0.2384
0.5314 0.5314 0.7616
0.8084 0.8084 0.1094
0.0461 0.0461 0.7286
0.3234 0.3234 0.0855
0.4063 0.4063 0.5242
0.5937 0.5937 0.4758
0.6766 0.6766 0.9145
0.9539 0.9539 0.2714



No. 6
CuPd8Au3 PBE optimized geometry; total magnetic moment = 0.000 μB per atom; ΔE_f = 5.6 eV per formula unit; symmetry = I-42m (121)
1.0
-3.4845 3.4845 4.7535
3.4845 -3.4845 4.7535
3.4845 3.4845 -4.7535
Cu Pd Au
1 8 3
direct
0.0000 0.0000 0.0000
0.0839 0.3518 0.0000
0.1864 0.7152 0.0000
0.2848 0.2848 0.4712
0.3518 0.0839 0.0000
0.6482 0.6482 0.7321
0.7152 0.1864 0.0000
0.8136 0.8136 0.5288
0.9161 0.9161 0.2679
0.2500 0.7500 0.5000
0.5000 0.5000 0.0000
0.7500 0.2500 0.5000



No. 7
RbMg2RePd PBE optimized geometry; total magnetic moment = 0.262 μB per atom; ΔE_f = 3.8 eV per formula unit; symmetry = P4/mmm (123)
1.0
5.1633 0.0000 0.0000
0.0000 5.1633 0.0000
0.0000 0.0000 4.9672
Rb Mg Re Pd
1 2 1 1
direct
0.0000 0.0000 0.0000
0.0000 0.5000 0.5000
0.5000 0.0000 0.5000
0.5000 0.5000 0.0000
0.5000 0.5000 0.5000



No. 8
Tb6DyY2Sc3 PBE optimized geometry; total magnetic moment = 0.000 μB per atom; ΔE_f = 0.5 eV per formula unit; symmetry = C2/m (12)
1.0
3.0317 -5.2467 0.0000
3.0317 5.2467 0.0000
-2.0145 0.0000 11.2918
Tb Dy Y Sc
6 1 2 3
direct
0.0868 0.4195 0.7597
0.2459 0.2459 0.2403
0.4195 0.0868 0.7597
0.5805 0.9132 0.2403
0.7541 0.7541 0.7597
0.9132 0.5805 0.2403
0.0000 0.0000 0.5000
0.3334 0.6666 0.5000
0.6666 0.3334 0.5000
0.1667 0.8333 0.0000
0.5000 0.5000 0.0000
0.8333 0.1667 0.0000



No. 9
NbPt2W PBE optimized geometry; total magnetic moment = 0.000 μB per atom; ΔE_f = 0.6 eV per formula unit; symmetry = I-42d (122)
1.0
-3.6153 3.6153 2.7132
3.6153 -3.6153 2.7132
3.6153 3.6153 -2.7132
Nb Pt W
2 4 2
direct
0.0000 0.0000 0.0000
0.7500 0.2500 0.5000
0.1380 0.1250 0.5130
0.3750 0.8620 0.9870
0.6120 0.6250 0.4870
0.8750 0.3880 0.0130
0.2500 0.7500 0.5000
0.5000 0.5000 0.0000



No. 10
VSiGe PBE optimized geometry; ΔE_f (raw) = 0.125 eV/atom; total magnetic moment = 0.000 μB per atom; symmetry = C2/m (12)
1.0
4.4064 -2.5371 0.0000
4.4064 2.5371 0.0000
-2.2020 0.0000 3.8384
V Si Ge
2 2 2
direct
0.0000 0.5000 0.0000
0.5000 0.0000 0.0000
0.0700 0.0700 0.3189
0.9300 0.9300 0.6811
0.4060 0.4060 0.6565
0.5940 0.5940 0.3435



No. 11
AlCrSCl2 PBE optimized geometry; ΔE_f (raw) = -0.372 eV/atom; total magnetic moment = 0.600 μB per atom; symmetry = P4/mmm (123)
1.0
4.9063 0.0000 0.0000
0.0000 4.9063 0.0000
0.0000 0.0000 4.5980
Al Cr S Cl
1 1 1 2
direct
0.0000 0.0000 0.0000
0.5000 0.5000 0.5000
0.5000 0.5000 0.0000
0.0000 0.5000 0.5000
0.5000 0.0000 0.5000



No. 12
Ba3ErPu2O9 PBE optimized geometry; ΔE_f (raw) = -3.043 eV/atom; total magnetic moment = 0.467 μB per atom; symmetry = P-3m1 (164)
1.0
6.1878 0.0000 0.0000
-3.0939 5.3588 0.0000
0.0000 0.0000 7.5893
Ba Er Pu O
3 1 2 9
direct
0.0000 0.0000 0.0000
0.3333 0.6667 0.6574
0.6667 0.3333 0.3426
0.0000 0.0000 0.5000
0.3333 0.6667 0.1671
0.6667 0.3333 0.8329
0.0000 0.5000 0.0000
0.1697 0.3393 0.3304
0.1697 0.8303 0.3304
0.3393 0.1697 0.6696
0.5000 0.0000 0.0000
0.5000 0.5000 0.0000
0.6607 0.8303 0.3304
0.8303 0.1697 0.6696
0.8303 0.6607 0.6696



No. 13
NdPu2Al2Ge2 PBE optimized geometry; total magnetic moment = 0.827 μB per atom; ΔE_f = -1.4 eV per formula unit; symmetry = R-3m (166)
1.0
2.1168 1.2222 9.4026
-2.1168 1.2222 9.4026
0.0000 -2.4443 9.4026
Nd Pu Al Ge
1 2 2 2
direct
0.0000 0.0000 0.0000
0.1602 0.1602 0.1602
0.8398 0.8398 0.8398
0.4265 0.4265 0.4265
0.5735 0.5735 0.5735
0.2678 0.2678 0.2678
0.7322 0.7322 0.7322



No. 14
Ac2SnGe4Pd3 PBE optimized geometry; total magnetic moment = 0.000 μB per atom; ΔE_f = -7.2 eV per formula unit; symmetry = P-4m2 (115)
1.0
4.4796 0.0000 0.0000
0.0000 4.4796 0.0000
0.0000 0.0000 10.8596
Ac Sn Ge Pd
2 1 4 3
direct
0.0000 0.5000 0.2358
0.5000 0.0000 0.7642
0.0000 0.0000 0.5000
0.0000 0.0000 0.0000
0.0000 0.5000 0.6499
0.5000 0.0000 0.3501
0.5000 0.5000 0.0000
0.0000 0.5000 0.8804
0.5000 0.0000 0.1196
0.5000 0.5000 0.5000



No. 15
Zr2NiTe PBE optimized geometry; ΔE_f (raw) = 0.151 eV/atom; total magnetic moment = 0.185 μB per atom; symmetry = F-43m (216)
1.0
0.0000 3.4074 3.4074
3.4074 0.0000 3.4074
3.4074 3.4074 0.0000
Zr Ni Te
2 1 1
direct
0.0000 0.0000 0.0000
0.2500 0.2500 0.2500
0.5000 0.5000 0.5000
0.7500 0.7500 0.7500



No. 16
Be2Zn2Ag PBE optimized geometry; total magnetic moment = 0.000 μB per atom; ΔE_f = 1.1 eV per formula unit; symmetry = P4/mbm (127)
1.0
6.9905 0.0000 0.0000
0.0000 6.9905 0.0000
0.0000 0.0000 2.6495
Be Zn Ag
4 4 2
direct
0.1723 0.3277 0.0000
0.3277 0.8277 0.0000
0.6723 0.1723 0.0000
0.8277 0.6723 0.0000
0.1270 0.6270 0.5000
0.3730 0.1270 0.5000
0.6270 0.8730 0.5000
0.8730 0.3730 0.5000
0.0000 0.0000 0.5000
0.5000 0.5000 0.5000



No. 17
La14GaPb PBE optimized geometry; total magnetic moment = 0.000 μB per atom; ΔE_f = -1.2 eV per formula unit; symmetry = P4/mmm (123)
1.0
8.4939 0.0000 0.0000
0.0000 8.4939 0.0000
0.0000 0.0000 7.5614
La Ga Pb
14 1 1
direct
0.0000 0.0000 0.0000
0.0000 0.5000 0.0000
0.0000 0.5000 0.5000
0.2426 0.2426 0.2807
0.2426 0.2426 0.7193
0.2426 0.7574 0.2807
0.2426 0.7574 0.7193
0.5000 0.0000 0.0000
0.5000 0.0000 0.5000
0.5000 0.5000 0.0000
0.7574 0.2426 0.2807
0.7574 0.2426 0.7193
0.7574 0.7574 0.2807
0.7574 0.7574 0.7193
0.0000 0.0000 0.5000
0.5000 0.5000 0.5000



No. 18
Tb3Tl4InS8 PBE optimized geometry; ΔE_f (raw) = -1.223 eV/atom; total magnetic moment = 0.000 μB per atom; symmetry = R-3m (166)
1.0
4.0199 2.3209 7.5243
-4.0199 2.3209 7.5243
0.0000 -4.6418 7.5243
Tb Tl In S
3 4 1 8
direct
0.0000 0.5000 0.5000
0.5000 0.0000 0.5000
0.5000 0.5000 0.0000
0.0000 0.0000 0.5000
0.0000 0.5000 0.0000
0.5000 0.0000 0.0000
0.5000 0.5000 0.5000
0.0000 0.0000 0.0000
0.2293 0.2293 0.7391
0.2293 0.7391 0.2293
0.2609 0.7707 0.7707
0.2671 0.2671 0.2671
0.7329 0.7329 0.7329
0.7391 0.2293 0.2293
0.7707 0.2609 0.7707
0.7707 0.7707 0.2609



No. 19
Ti3Mn3Nb2 PBE optimized geometry; total magnetic moment = 0.050 μB per atom; ΔE_f = -1.2 eV per formula unit; symmetry = Immm (71)
1.0
-1.5374 2.2183 8.5758
1.5374 -2.2183 8.5758
1.5374 2.2183 -8.5758
Ti Mn Nb
3 3 2
direct
0.0000 0.0000 0.0000
0.3863 0.8863 0.5000
0.6137 0.1137 0.5000
0.1196 0.6196 0.5000
0.5000 0.5000 0.0000
0.8804 0.3804 0.5000
0.2416 0.2416 0.0000
0.7584 0.7584 0.0000



No. 20
CuNi PBE optimized geometry; total magnetic moment = 0.164 μB per atom; ΔE_f = 0.5 eV per formula unit; symmetry = P6_3/mmc (194)
1.0
3.9941 0.0000 0.0000
-1.9970 3.4590 0.0000
0.0000 0.0000 7.0930
Cu Ni
4 4
direct
0.0000 0.0000 0.2500
0.0000 0.0000 0.7500
0.3333 0.6667 0.2500
0.6667 0.3333 0.7500
0.3333 0.6667 0.5828
0.3333 0.6667 0.9172
0.6667 0.3333 0.0828
0.6667 0.3333 0.4172